Version one
A geometry-optimized Na2ScV structure. Source: Alexandria via LeMat-Bulk, functional PBE.

Cell lengths 7.377, 7.377, 7.377 Å; angles 90.00, 90.00, 90.00 degrees
Space group Fm-3m (No. 225)
One atom of each set of equivalent atoms:
Na 0.250 0.250 0.250 [8 per cell]
Sc 0.000 0.000 0.000 [4 per cell]
V 0.000 0.000 0.500 [4 per cell]

---

Version two
A geometry-optimized Na2ScV structure. Source: Alexandria via LeMat-Bulk, functional PBE.

Cell lengths 8.460, 8.460, 5.795 Å; angles 90.00, 90.00, 90.00 degrees
Space group I-42d (No. 122)
One atom of each set of equivalent atoms:
Na 0.233 0.250 0.125 [8 per cell]
Sc 0.000 0.000 0.500 [4 per cell]
V 0.000 0.000 0.000 [4 per cell]

---

Which structure is most stable, and how do the rest compare? From most to least stable: version one, version two.